Record 1
DFT (PBE) results for crystalline LaSc2Si4 at its relaxed geometry.

Properties
- energy relative to the elements, uncorrected (eV/atom) = -0.7373

Geometry as CIF:
```
data_LaSc2Si4
_chemical_formula_sum 'La2 Sc4 Si8'
_symmetry_space_group_name_H-M 'I m m m'
_symmetry_Int_Tables_number 71
_symmetry_space_group_name_Hall '-I 2 2'
_cell_length_a 3.836
_cell_length_b 4.200
_cell_length_c 17.025
_cell_angle_alpha 90.00
_cell_angle_beta 90.00
_cell_angle_gamma 90.00
loop_
_atom_site_label
_atom_site_fract_x
_atom_site_fract_y
_atom_site_fract_z
La1 0.000 0.000 0.000
Sc1 0.000 0.500 0.316
Si1 0.000 0.000 0.429
Si2 0.000 0.500 0.157
```

Record 2
DFT (PBE) results for crystalline Be3ZnIr at its relaxed geometry.

Properties
- calculated formation energy (eV/atom) = 0.39
- polymorph energy (0 for the lowest one) (meV/atom) = 0

Geometry as CIF:
```
data_Be3ZnIr
_chemical_formula_sum 'Be3 Zn1 Ir1'
_symmetry_space_group_name_H-M 'P m -3 m'
_symmetry_Int_Tables_number 221
_symmetry_space_group_name_Hall '-P 4 2 3'
_cell_length_a 4.233
_cell_length_b 4.233
_cell_length_c 4.233
_cell_angle_alpha 90.00
_cell_angle_beta 90.00
_cell_angle_gamma 90.00
loop_
_atom_site_label
_atom_site_fract_x
_atom_site_fract_y
_atom_site_fract_z
Be1 0.000 0.000 0.500
Zn1 0.500 0.500 0.500
Ir1 0.000 0.000 0.000
```

Record 3
DFT (PBE) results for crystalline TlCuI2Br at its relaxed geometry.

Properties
- energy relative to the elements, uncorrected (eV/atom) = -0.3187

Geometry as CIF:
```
data_TlCuI2Br
_chemical_formula_sum 'Tl1 Cu1 I2 Br1'
_symmetry_space_group_name_H-M 'P 4/m m m'
_symmetry_Int_Tables_number 123
_symmetry_space_group_name_Hall '-P 4 2'
_cell_length_a 5.556
_cell_length_b 5.556
_cell_length_c 5.139
_cell_angle_alpha 90.00
_cell_angle_beta 90.00
_cell_angle_gamma 90.00
loop_
_atom_site_label
_atom_site_fract_x
_atom_site_fract_y
_atom_site_fract_z
Tl1 0.000 0.000 0.000
Cu1 0.500 0.500 0.500
I1 0.000 0.500 0.500
Br1 0.500 0.500 0.000
```

Record 4
DFT (PBE) results for crystalline Rb2TaBF6 at its relaxed geometry.

Properties
- energy relative to the elements, uncorrected (eV/atom) = -2.0497

Geometry as CIF:
```
data_Rb2TaBF6
_chemical_formula_sum 'Rb4 Ta2 B2 F12'
_symmetry_space_group_name_H-M 'I 4/m m m'
_symmetry_Int_Tables_number 139
_symmetry_space_group_name_Hall '-I 4 2'
_cell_length_a 6.340
_cell_length_b 6.340
_cell_length_c 10.301
_cell_angle_alpha 90.00
_cell_angle_beta 90.00
_cell_angle_gamma 90.00
loop_
_atom_site_label
_atom_site_fract_x
_atom_site_fract_y
_atom_site_fract_z
Rb1 0.000 0.500 0.250
Ta1 0.000 0.000 0.000
B1 0.000 0.000 0.500
F1 0.000 0.000 0.192
F2 0.224 0.224 0.000
```

The records above yield theoretical density values of 4.130 6.232 6.298 3.823 g/cm3, respectively.
The records above yield electronic total energy values of -6.349 -3.877 -2.566 -5.219 eV per atom, respectively.
The records above yield total moment values of 0.0000 0.0000 0.0000 0.2006 μB per atom, respectively.